This record from Alexandria via LeMat-Bulk describes ErZnNi2 after structural relaxation. The functional is GGA-PBE.

a = 4.7709 Å, b = 5.1188 Å, c = 11.7359 Å
α = 90.00°, β = 90.00°, γ = 90.00°
Last column: nearest neighbours and their distance in Å.
Element x y z (fractional)
Ni  0.2558  0.7500  0.8653  4 Ni 2.33-2.44, 2 Zn 2.39-2.48
Zn  0.0000  0.2500  0.3097  2 Zn 2.39, 2 Ni 2.39
Zn  0.5000  0.7500  0.6792  2 Zn 2.39, 4 Ni 2.46-2.48
Ni  0.5000  0.0000  0.5000  2 Zn 2.46, 2 Ni 2.56
Er  0.0000  0.7500  0.4118  2 Zn 2.83, 4 Ni 2.90
Ni  0.0000  0.5000  0.0000  6 Ni 2.37-2.56
Ni  0.5000  0.5000  0.5000  2 Zn 2.46, 2 Ni 2.56
Er  0.0000  0.2500  0.5882  2 Zn 2.83, 4 Ni 2.90
Ni  0.7442  0.2500  0.1347  4 Ni 2.33-2.44, 2 Zn 2.39-2.48
Zn  0.0000  0.7500  0.6903  2 Zn 2.39, 2 Ni 2.39
Ni  0.7442  0.7500  0.8653  4 Ni 2.33-2.44, 2 Zn 2.39-2.48
Er  0.5000  0.2500  0.8973  10 Ni 2.84-3.02
Ni  0.0000  0.0000  0.0000  6 Ni 2.37-2.56
Er  0.5000  0.7500  0.1027  10 Ni 2.84-3.02
Zn  0.5000  0.2500  0.3208  2 Zn 2.39, 4 Ni 2.46-2.48
Ni  0.2558  0.2500  0.1347  4 Ni 2.33-2.44, 2 Zn 2.39-2.48

Its total DFT energy (no corrections) is -71.9 eV per cell. For the total magnetization, the calculation gives 0.000 Bohr magnetons per cell. For the calculated density, the calculation gives 8.11 Mg/m³. The formation energy is -143 meV per atom. Its symmetry is No. 51.

=====

This record from Alexandria via LeMat-Bulk describes Al4TlCd after structural relaxation. The functional is GGA-PBE.

a = 5.6173 Å, b = 5.6173 Å, c = 5.6173 Å
α = 60.00°, β = 60.00°, γ = 60.00°
Last column: nearest neighbours and their distance in Å.
Element x y z (fractional)
Al  0.3752  0.3752  0.8744  6 Al 2.80-2.81
Cd  0.7500  0.7500  0.7500  12 Al 3.29, 4 Tl 3.44
Al  0.8744  0.3752  0.3752  6 Al 2.80-2.81
Tl  0.0000  0.0000  0.0000  12 Al 3.29, 4 Cd 3.44
Al  0.3752  0.3752  0.3752  6 Al 2.80-2.81
Al  0.3752  0.8744  0.3752  6 Al 2.80-2.81

Its total DFT energy (no corrections) is -17.1 eV per cell. For the total magnetization, the calculation gives 0.000 Bohr magnetons per cell. For the calculated density, the calculation gives 5.63 Mg/m³. The formation energy is 197 meV per atom. Its symmetry is No. 216.